[1]
Compound: AuSe
Source: the Alexandria database
Functional: PBE
Structure: optimized geometry

Properties
ΔE_f (raw) ... 19.1 kJ per mole of atoms
V ... 84 Å³ per cell
Total magnetization ... 0.00 μB/f.u.
Energy ... -12.73 eV for the cell shown

abc: 3.6702 3.6702 7.1684
angles: 90.00 90.00 120.00
With the nearest neighbours (Å) after each atom.
Atoms (fractional coordinates):
Au  0.3333  0.6667  0.2500  6 Se 2.78
Au  0.6667  0.3333  0.7500  6 Se 2.78
Se  0.0000  0.0000  0.0000  6 Au 2.78
Se  0.0000  0.0000  0.5000  6 Au 2.78

[2]
Compound: AuSe4
Source: the Alexandria database
Functional: PBE
Structure: optimized geometry

Properties
ΔE_f (raw) ... 15.7 kJ per mole of atoms
V ... 167 Å³ per cell
Total magnetization ... 0.00 μB/f.u.
Energy ... -16.40 eV for the cell shown
Relative energy among the computed polymorphs ... 52 kJ/mol of formula units

abc: 6.9412 6.9412 6.9412
angles: 134.54 134.54 66.24
With the nearest neighbours (Å) after each atom.
Atoms (fractional coordinates):
Au  0.0000  0.0000  0.0000  2 Se 2.43
Se  0.2091  0.2091  0.0000  1 Au 2.43
Se  0.2500  0.7500  0.5000  4 Se 2.72
Se  0.7500  0.2500  0.5000  4 Se 2.72
Se  0.7909  0.7909  0.0000  1 Au 2.43

[3]
Compound: Au2Se
Source: the Alexandria database
Functional: PBE
Structure: optimized geometry

Properties
ΔE_f (raw) ... 19.7 kJ per mole of atoms
V ... 199 Å³ per cell
Total magnetization ... 0.00 μB/f.u.
Energy ... -28.28 eV for the cell shown

abc: 8.9077 8.9077 2.9009
angles: 90.00 90.00 120.00
With the nearest neighbours (Å) after each atom.
Atoms (fractional coordinates):
Au  0.0000  0.4460  0.0000  2 Se 2.62, 4 Au 2.84-2.90
Au  0.0000  0.7198  0.5000  1 Se 2.50
Au  0.2802  0.2802  0.5000  1 Se 2.50
Au  0.4460  0.0000  0.0000  2 Se 2.62, 4 Au 2.84-2.90
Au  0.5540  0.5540  0.0000  2 Se 2.62, 4 Au 2.84-2.90
Au  0.7198  0.0000  0.5000  1 Se 2.50
Se  0.0000  0.0000  0.5000  3 Au 2.50
Se  0.3333  0.6667  0.0000  3 Au 2.62, 2 Se 2.90
Se  0.6667  0.3333  0.0000  3 Au 2.62, 2 Se 2.90

[4]
Compound: AuSe
Source: the Alexandria database
Functional: PBE
Structure: optimized geometry

Properties
ΔE_f (raw) ... 36.4 kJ per mole of atoms
V ... 40 Å³ per cell
Total magnetization ... 0.00 μB/f.u.
Energy ... -6.01 eV for the cell shown

abc: 2.7847 2.7847 5.2177
angles: 90.00 90.00 90.00
With the nearest neighbours (Å) after each atom.
Atoms (fractional coordinates):
Au  0.0000  0.0000  0.0000  4 Au 2.78
Se  0.5000  0.5000  0.5000  4 Se 2.78

[5]
Compound: AuSe
Source: the Alexandria database
Functional: PBE
Structure: optimized geometry

Properties
ΔE_f (raw) ... 11.2 kJ per mole of atoms
V ... 190 Å³ per cell
Total magnetization ... 0.00 μB/f.u.
Energy ... -26.12 eV for the cell shown

abc: 5.9700 3.7824 8.4017
angles: 90.00 90.00 90.00
With the nearest neighbours (Å) after each atom.
Atoms (fractional coordinates):
Au  0.0738  0.2500  0.2352  4 Se 2.66-2.69
Au  0.4262  0.7500  0.7352  4 Se 2.66-2.69
Au  0.5738  0.2500  0.2648  4 Se 2.66-2.69
Au  0.9262  0.7500  0.7648  4 Se 2.66-2.69
Se  0.1967  0.2500  0.8857  4 Au 2.66-2.69
Se  0.3033  0.7500  0.3857  4 Au 2.66-2.69
Se  0.6967  0.2500  0.6143  4 Au 2.66-2.69
Se  0.8033  0.7500  0.1143  4 Au 2.66-2.69

[6]
Compound: AuSe
Source: the Alexandria database
Functional: PBE
Structure: optimized geometry

Properties
ΔE_f (raw) ... 25.8 kJ per mole of atoms
V ... 83 Å³ per cell
Total magnetization ... 0.00 μB/f.u.
Energy ... -12.45 eV for the cell shown

abc: 2.8853 2.8853 10.2861
angles: 90.00 90.00 103.02
With the nearest neighbours (Å) after each atom.
Atoms (fractional coordinates):
Au  0.2500  0.7500  0.8913  8 Au 2.87-3.18, 4 Se 2.90-3.21
Au  0.7500  0.2500  0.1087  8 Au 2.87-3.18, 4 Se 2.90-3.21
Se  0.2500  0.7500  0.3306  4 Se 2.89, 4 Au 2.90-3.21
Se  0.7500  0.2500  0.6694  4 Se 2.89, 4 Au 2.90-3.21

[7]
Compound: AuSe
Source: the Alexandria database
Functional: PBE
Structure: optimized geometry

Properties
ΔE_f (raw) ... 41.3 kJ per mole of atoms
V ... 39 Å³ per cell
Total magnetization ... 0.00 μB/f.u.
Energy ... -5.91 eV for the cell shown

abc: 5.5559 5.5559 5.5559
angles: 30.64 30.64 30.64
With the nearest neighbours (Å) after each atom.
Atoms (fractional coordinates):
Au  0.0000  0.0000  0.0000  6 Au 2.94, 6 Se 3.14
Se  0.5000  0.5000  0.5000  6 Se 2.94, 6 Au 3.14

[8]
Compound: AuSe
Source: the Alexandria database
Functional: PBE
Structure: optimized geometry

Properties
ΔE_f (raw) ... 7.8 kJ per mole of atoms
V ... 377 Å³ per cell
Total magnetization ... 0.00 μB/f.u.
Energy ... -52.81 eV for the cell shown

abc: 6.1992 7.6531 7.9429
angles: 90.00 90.00 90.00
With the nearest neighbours (Å) after each atom.
Atoms (fractional coordinates):
Au  0.0886  0.0706  0.2302  4 Se 2.55-2.72
Au  0.0886  0.4294  0.7302  4 Se 2.55-2.72
Au  0.4114  0.5706  0.2302  4 Se 2.55-2.72
Au  0.4114  0.9294  0.7302  4 Se 2.55-2.72
Au  0.5886  0.0706  0.2698  4 Se 2.55-2.72
Au  0.5886  0.4294  0.7698  4 Se 2.55-2.72
Au  0.9114  0.5706  0.2698  4 Se 2.55-2.72
Au  0.9114  0.9294  0.7698  4 Se 2.55-2.72
Se  0.1648  0.1531  0.9028  4 Au 2.55-2.72
Se  0.1648  0.3469  0.4028  4 Au 2.55-2.72
Se  0.3352  0.6531  0.9028  4 Au 2.55-2.72
Se  0.3352  0.8469  0.4028  4 Au 2.55-2.72
Se  0.6648  0.1531  0.5972  4 Au 2.55-2.72
Se  0.6648  0.3469  0.0972  4 Au 2.55-2.72
Se  0.8352  0.6531  0.5972  4 Au 2.55-2.72
Se  0.8352  0.8469  0.0972  4 Au 2.55-2.72